[1]
Here is a geometry-optimized Pr2ErTl structure from Alexandria via LeMat-Bulk. Energies are from PBE.

Properties
Calculated total energy ... -4.26 eV/atom
E above lowest polymorph ... 35.5 meV/atom
Magnetic moment ... 0.00 μB per formula unit
Formation enthalpy at 0 K ... -0.553 eV/f.u.
DOS(E_F) ... 1.5255 states/eV/atom

a b c (Å): 3.6906 3.6906 9.5046
angles (deg): 90.00 90.00 90.00
Last column: nearest neighbours and their distance in Å.
Fractional positions:
Pr 0.0000 0.0000 0.7676  4 Tl 3.42, 4 Er 3.64, 4 Pr 3.69
Pr 0.0000 0.0000 0.2324  4 Tl 3.42, 4 Er 3.64, 4 Pr 3.69
Tl 0.5000 0.5000 0.0000  8 Pr 3.42, 4 Tl 3.69
Er 0.5000 0.5000 0.5000  8 Pr 3.64, 4 Er 3.69


[2]
Here is a geometry-optimized LiTlNiSn structure from Alexandria via LeMat-Bulk. Energies are from PBE.

Properties
Calculated total energy ... -3.58 eV/atom
Magnetic moment ... 0.00 μB per formula unit
Formation enthalpy at 0 K ... -0.259 eV/f.u.
DOS(E_F) ... 0.4046 states/eV/atom

a b c (Å): 4.6694 4.6694 4.6694
angles (deg): 60.00 60.00 60.00
Last column: nearest neighbours and their distance in Å.
Fractional positions:
Ni 0.5000 0.5000 0.5000  4 Tl 2.86, 4 Sn 2.86
Tl 0.7500 0.7500 0.7500  4 Li 2.86, 4 Ni 2.86
Sn 0.2500 0.2500 0.2500  4 Li 2.86, 4 Ni 2.86
Li 0.0000 0.0000 0.0000  4 Tl 2.86, 4 Sn 2.86


[3]
Here is a geometry-optimized Li7GaSb4 structure from Alexandria via LeMat-Bulk. Energies are from PBE.

Properties
Calculated total energy ... -3.15 eV/atom
Raw formation energy ... -4.88 eV per formula unit
Magnetic moment ... 0.00 μB per formula unit
DOS(E_F) ... 0.2353 states/eV/atom

a b c (Å): 5.4211 6.5221 9.5355
angles (deg): 70.78 53.18 76.41
Last column: nearest neighbours and their distance in Å.
Fractional positions:
Li 0.8106 0.5047 0.9370  4 Li 2.83-3.11, 4 Sb 2.86-2.90
Li 0.1894 0.4953 0.0630  4 Li 2.83-3.11, 4 Sb 2.86-2.90
Li 0.0793 0.3392 0.6181  4 Sb 2.87-3.16, 3 Li 2.93-3.04
Li 0.9207 0.6608 0.3819  4 Sb 2.87-3.16, 3 Li 2.93-3.04
Li 0.2475 0.8239 0.5728  4 Sb 2.92-2.93, 2 Li 3.04-3.11
Li 0.5000 0.0000 0.0000  2 Ga 2.71, 2 Sb 2.83
Li 0.7525 0.1761 0.4272  4 Sb 2.92-2.93, 2 Li 3.04-3.11
Ga 0.0000 0.0000 0.0000  2 Li 2.71, 2 Sb 2.96
Sb 0.5552 0.6525 0.2531  7 Li 2.83-3.16, 1 Ga 2.96, 1 Sb 3.04
Sb 0.4448 0.3475 0.7469  7 Li 2.83-3.16, 1 Ga 2.96, 1 Sb 3.04
Sb 0.6035 0.7828 0.7199  7 Li 2.86-3.13, 1 Sb 3.04, 1 Ga 3.11
Sb 0.3965 0.2172 0.2801  7 Li 2.86-3.13, 1 Sb 3.04, 1 Ga 3.11


[4]
Here is a geometry-optimized VPd6Au structure from Alexandria via LeMat-Bulk. Energies are from PBE.

Properties
Calculated total energy ... -5.63 eV/atom
Magnetic moment ... 0.00 μB per formula unit
Formation enthalpy at 0 K ... -1.504 eV/f.u.
DOS(E_F) ... 0.9148 states/eV/atom

a b c (Å): 3.9436 3.9436 7.8893
angles (deg): 90.00 90.00 90.00
Last column: nearest neighbours and their distance in Å.
Fractional positions:
V 0.0000 0.0000 0.5000  12 Pd 2.71-2.79
Pd 0.5000 0.5000 0.0000  4 Au 2.79, 8 Pd 2.87
Pd 0.5000 0.5000 0.5000  8 Pd 2.71, 4 V 2.79
Pd 0.5000 0.0000 0.2650  2 V 2.71, 8 Pd 2.71-2.87, 2 Au 2.87
Pd 0.5000 0.0000 0.7350  8 Pd 2.71-2.87, 2 V 2.71, 2 Au 2.87
Pd 0.0000 0.5000 0.2650  2 V 2.71, 8 Pd 2.71-2.87, 2 Au 2.87
Pd 0.0000 0.5000 0.7350  8 Pd 2.71-2.87, 2 V 2.71, 2 Au 2.87
Au 0.0000 0.0000 0.0000  12 Pd 2.79-2.87


[5]
Here is a geometry-optimized CaPmP structure from Alexandria via LeMat-Bulk. Energies are from PBE.

Properties
Calculated total energy ... -4.86 eV/atom
E above lowest polymorph ... 90.1 meV/atom
Magnetic moment ... 0.00 μB per formula unit
Formation enthalpy at 0 K ... -2.431 eV/f.u.
DOS(E_F) ... 0.8310 states/eV/atom

a b c (Å): 4.8213 4.8213 4.8213
angles (deg): 60.00 60.00 60.00
Last column: nearest neighbours and their distance in Å.
Fractional positions:
P 0.2500 0.2500 0.2500  4 Pm 2.95, 4 Ca 2.95
Ca 0.5000 0.5000 0.5000  4 P 2.95
Pm 0.0000 0.0000 0.0000  4 P 2.95


[6]
Here is a geometry-optimized Rb2US3 structure from Alexandria via LeMat-Bulk. Energies are from PBE.

Properties
Calculated total energy ... -5.63 eV/atom
Raw formation energy ... -8.20 eV per formula unit
Magnetic moment ... 2.00 μB per formula unit
DOS(E_F) ... 0.7448 states/eV/atom

a b c (Å): 7.4048 7.4048 8.1017
angles (deg): 99.00 99.00 119.90
Last column: nearest neighbours and their distance in Å.
Fractional positions:
Rb 0.8334 0.1666 0.5000  6 S 3.17-3.54
Rb 0.3333 0.6667 0.0000  6 S 3.21-3.23
Rb 0.1795 0.8205 0.5000  4 S 3.21-3.45
Rb 0.4872 0.5128 0.5000  4 S 3.21-3.45
U 0.0009 0.9991 0.0000  6 S 2.75-2.76
U 0.6657 0.3343 0.0000  6 S 2.75-2.76
S 0.6506 0.9840 0.8059  2 U 2.76
S 0.0160 0.3494 0.1941  2 U 2.76
S 0.8802 0.5988 0.8030  2 U 2.75
S 0.2655 0.2135 0.8029  2 U 2.75
S 0.4012 0.1198 0.1970  2 U 2.75
S 0.7865 0.7345 0.1971  2 U 2.75


[7]
Here is a geometry-optimized Li2As structure from Alexandria via LeMat-Bulk. Energies are from PBE.

Properties
Calculated total energy ... -3.45 eV/atom
E above lowest polymorph ... 9.8 meV/atom
Magnetic moment ... 0.00 μB per formula unit
Formation enthalpy at 0 K ... -1.865 eV/f.u.
DOS(E_F) ... 0.0264 states/eV/atom

a b c (Å): 7.3875 7.3875 4.4109
angles (deg): 90.00 90.00 157.55
Last column: nearest neighbours and their distance in Å.
Fractional positions:
As 0.6776 0.3224 0.0000  10 Li 2.65-2.91, 2 As 2.88
As 0.4335 0.5665 0.5000  10 Li 2.65-2.91, 2 As 2.88
Li 0.0028 0.9972 0.0000  6 Li 2.68-2.88, 6 As 2.82-2.91
Li 0.3320 0.6680 0.0000  4 As 2.65-2.66, 8 Li 2.74-2.88
Li 0.7791 0.2209 0.5000  4 As 2.65-2.66, 8 Li 2.74-2.88
Li 0.1083 0.8917 0.5000  6 Li 2.68-2.88, 6 As 2.82-2.91


[8]
Here is a geometry-optimized BiN structure from Alexandria via LeMat-Bulk. Energies are from PBE.

Properties
Calculated total energy ... -5.35 eV/atom
Raw formation energy ... 1.52 eV per formula unit
Magnetic moment ... 0.00 μB per formula unit
DOS(E_F) ... 0.1777 states/eV/atom

a b c (Å): 3.5742 9.9043 7.8516
angles (deg): 90.00 90.00 90.00
Last column: nearest neighbours and their distance in Å.
Fractional positions:
Bi 0.0000 0.2258 0.6133  3 N 2.25-2.31
Bi 0.0000 0.7742 0.6133  3 N 2.25-2.31
Bi 0.0000 0.7258 0.1133  3 N 2.25-2.31
Bi 0.0000 0.2742 0.1133  3 N 2.25-2.31
Bi 0.5000 0.0000 0.3525  4 N 2.31-2.40
Bi 0.5000 0.5000 0.8525  4 N 2.31-2.40
N 0.5000 0.7317 0.9403  3 Bi 2.25-2.40
N 0.5000 0.2683 0.9403  3 Bi 2.25-2.40
N 0.5000 0.2317 0.4403  3 Bi 2.25-2.40
N 0.5000 0.7683 0.4403  3 Bi 2.25-2.40
N 0.0000 0.0000 0.5384  4 Bi 2.31
N 0.0000 0.5000 0.0384  4 Bi 2.31


[9]
Here is a geometry-optimized Y2ZrAl structure from Alexandria via LeMat-Bulk. Energies are from PBE.

Properties
Calculated total energy ... -6.46 eV/atom
Magnetic moment ... 0.00 μB per formula unit
Formation enthalpy at 0 K ... -0.631 eV/f.u.
DOS(E_F) ... 0.8438 states/eV/atom

a b c (Å): 6.3476 6.3476 5.2126
angles (deg): 66.09 66.09 32.71
Last column: nearest neighbours and their distance in Å.
Fractional positions:
Y 0.0312 0.0312 0.9665  2 Al 3.09, 4 Zr 3.25
Y 0.2451 0.2451 0.2572  4 Al 3.16-3.17, 2 Y 3.51-3.52, 1 Zr 3.53
Al 0.7593 0.7593 0.7439  2 Zr 2.88, 6 Y 3.09-3.17
Zr 0.4644 0.4644 0.5325  2 Al 2.88


[10]
Here is a geometry-optimized RbCdPb structure from Alexandria via LeMat-Bulk. Energies are from PBE.

Properties
Calculated total energy ... -1.87 eV/atom
E above lowest polymorph ... 102.0 meV/atom
Magnetic moment ... 0.00 μB per formula unit
Formation enthalpy at 0 K ... -0.017 eV/f.u.
DOS(E_F) ... 0.7622 states/eV/atom

a b c (Å): 4.1676 4.1676 7.2813
angles (deg): 106.63 106.63 90.00
Last column: nearest neighbours and their distance in Å.
Fractional positions:
Pb 0.7095 0.7095 0.4190  4 Cd 3.15
Rb 0.9981 0.9981 0.9963  5 Pb 3.84-4.07, 5 Cd 3.92-4.02, 4 Rb 4.17
Cd 0.2924 0.2924 0.5847  4 Pb 3.15


[11]
Here is a geometry-optimized RbYW2 structure from Alexandria via LeMat-Bulk. Energies are from PBE.

Properties
Calculated total energy ... -6.43 eV/atom
E above lowest polymorph ... 0.0 meV/atom
Magnetic moment ... 0.00 μB per formula unit
Formation enthalpy at 0 K ... 7.609 eV/f.u.
DOS(E_F) ... 1.0345 states/eV/atom

a b c (Å): 4.6732 4.6732 11.2443
angles (deg): 78.01 78.01 90.00
Last column: nearest neighbours and their distance in Å.
Fractional positions:
Y 0.0000 0.0000 0.0000  4 W 2.96, 4 Rb 3.30
Y 0.7500 0.2500 0.5000  4 W 2.96, 4 Rb 3.30
Rb 0.5000 0.5000 0.0000  4 Y 3.30, 4 W 3.49
Rb 0.2500 0.7500 0.5000  4 Y 3.30, 4 W 3.49
W 0.9686 0.1250 0.2500  2 W 2.49
W 0.7814 0.6250 0.2500  2 W 2.49
W 0.3750 0.0314 0.7500  2 W 2.49
W 0.8750 0.2186 0.7500  2 W 2.49


[12]
Here is a geometry-optimized CdI3Br structure from Alexandria via LeMat-Bulk. Energies are from PBE.

Properties
Calculated total energy ... -1.14 eV/atom
Raw formation energy ... 1.56 eV per formula unit
E above lowest polymorph ... 223.4 meV/atom
Magnetic moment ... 0.00 μB per formula unit
DOS(E_F) ... 0.8847 states/eV/atom

a b c (Å): 5.9406 5.9406 5.9406
angles (deg): 90.00 90.00 90.00
Last column: nearest neighbours and their distance in Å.
Fractional positions:
I 0.0000 0.5000 0.0000  2 Br 2.97
I 0.0000 0.0000 0.5000  2 Br 2.97
I 0.5000 0.0000 0.0000  2 Br 2.97
Br 0.0000 0.0000 0.0000  6 I 2.97
Cd 0.5000 0.5000 0.5000  12 I 4.20